Entry 1:
VASP calculation (PBE) on CeTcGe4 after structural relaxation.

Results
As for the formation energy: -0.225 eV/atom. As for the symmetry: P-1, No. 2. The total energy comes out at -6.0198 eV/atom.

Lattice parameters (Å, degrees): 6.2612 6.9584 6.4920 93.45 118.85 90.01
Last column: nearest neighbours and their distance in Å.
Positions (direct):
Tc: 0.5000 0.0000 0.5000  6 Ge 2.43-2.55
Ge: 0.4215 0.9065 0.1025  2 Ge 2.40-2.43, 1 Tc 2.43
Ge: 0.8656 0.8463 0.5020  2 Tc 2.52-2.55, 2 Ge 2.73-2.79
Ge: 0.5785 0.0935 0.8975  2 Ge 2.40-2.43, 1 Tc 2.43
Tc: 0.0000 0.5000 0.5000  6 Ge 2.43-2.55
Ce: 0.1017 0.2498 0.9996  6 Ge 3.01-3.25
Ge: 0.3637 0.6539 0.4985  2 Tc 2.52-2.55, 2 Ge 2.73-2.80
Ge: 0.3188 0.5934 0.8979  2 Ge 2.40-2.43, 1 Tc 2.43
Ge: 0.6812 0.4066 0.1021  2 Ge 2.40-2.43, 1 Tc 2.43
Ge: 0.6363 0.3461 0.5015  2 Tc 2.52-2.55, 2 Ge 2.73-2.80
Ge: 0.1344 0.1537 0.4980  2 Tc 2.52-2.55, 2 Ge 2.73-2.79
Ce: 0.8983 0.7502 0.0004  6 Ge 3.01-3.25

=====

Entry 2:
VASP calculation (PBE) on La2GaCl after structural relaxation.

Results
As for the symmetry: P-3m1, No. 164. The raw formation energy is -1.01 eV per atom. The total energy comes out at -4.6945 eV/atom.

Lattice parameters (Å, degrees): 3.8487 3.8490 8.7394 90.00 90.00 60.01
Last column: nearest neighbours and their distance in Å.
Positions (direct):
La: 0.0069 0.4401 0.1740  3 Ga 3.09, 3 Cl 3.14
La: 0.3402 0.7731 0.6656  3 Ga 3.09, 3 Cl 3.14
Ga: 0.6735 0.1065 0.4198  6 La 3.09
Cl: 0.6737 0.1065 0.9198  6 La 3.14

=====

Entry 3:
VASP calculation (PBE) on CaSbSe after structural relaxation.

Results
As for the symmetry: I4mm, No. 107. The raw formation energy is -0.86 eV per atom. The total energy comes out at -4.0596 eV/atom.

Lattice parameters (Å, degrees): 6.3006 6.3005 3.9822 71.58 71.58 36.84
Last column: nearest neighbours and their distance in Å.
Positions (direct):
Ca: 0.0261 0.0261 0.9739  4 Se 2.96
Sb: 0.3668 0.3668 0.6332  1 Se 2.71
Se: 0.6071 0.6071 0.3929  1 Sb 2.71, 4 Ca 2.96

=====

Entry 4:
VASP calculation (PBE) on CaYOs2 after structural relaxation.

Results
As for the formation energy: 0.837 eV/atom. As for the symmetry: I-42d, No. 122. The total energy comes out at -6.8944 eV/atom.

Lattice parameters (Å, degrees): 7.8177 7.8177 6.1656 50.66 50.66 90.00
Last column: nearest neighbours and their distance in Å.
Positions (direct):
Y: 0.7500 0.2500 0.5000  2 Ca 2.73, 4 Os 2.83
Ca: 0.2500 0.7500 0.5000  2 Y 2.73, 4 Os 2.86
Os: 0.3750 0.3725 0.7500  2 Os 2.73, 2 Y 2.83, 2 Ca 2.86
Os: 0.1225 0.6250 0.2500  2 Os 2.73, 2 Y 2.83, 2 Ca 2.86
Os: 0.8750 0.8775 0.7500  2 Os 2.73, 2 Y 2.83, 2 Ca 2.86
Os: 0.6275 0.1250 0.2500  2 Os 2.73, 2 Y 2.83, 2 Ca 2.86
Ca: 0.5000 0.5000 0.0000  2 Y 2.73, 4 Os 2.86
Y: 0.0000 0.0000 0.0000  2 Ca 2.73, 4 Os 2.83

=====

Entry 5:
VASP calculation (PBE) on BeAl3Ru after structural relaxation.

Results
As for the formation energy: 0.434 eV/atom. As for the symmetry: Pm-3m, No. 221. The total energy comes out at -4.4115 eV/atom.

Lattice parameters (Å, degrees): 4.6757 4.6757 4.6757 90.00 90.00 90.00
Last column: nearest neighbours and their distance in Å.
Positions (direct):
Be: 0.5000 0.5000 0.5000  12 Al 3.31
Al: 0.0000 0.0000 0.5000  2 Ru 2.34
Al: 0.5000 0.0000 0.0000  2 Ru 2.34
Al: 0.0000 0.5000 0.0000  2 Ru 2.34
Ru: 0.0000 0.0000 0.0000  6 Al 2.34

=====

Entry 6:
VASP calculation (PBE) on Rb4InHg5 after structural relaxation.

Results
As for the formation energy: -0.179 eV/atom. As for the symmetry: I4mm, No. 107. The total energy comes out at -0.9905 eV/atom.

Lattice parameters (Å, degrees): 5.6677 9.0169 9.0169 84.33 71.68 71.68
Last column: nearest neighbours and their distance in Å.
Positions (direct):
Hg: 0.7874 0.0000 0.3817  1 In 3.33, 2 Hg 3.48
Hg: 0.6033 0.0000 0.0000  2 In 2.78-2.89
Rb: 0.7521 0.7178 0.7178  7 Hg 3.50-3.85
Hg: 0.7874 0.3817 0.0000  1 In 3.33, 2 Hg 3.48
Rb: 0.1877 0.2822 0.2822  7 Hg 3.50-3.85
Rb: 0.4699 0.7178 0.2822  7 Hg 3.50-3.85
Hg: 0.1690 0.6183 0.0000  1 In 3.33, 2 Hg 3.48
Rb: 0.4699 0.2822 0.7178  7 Hg 3.50-3.85
In: 0.0940 0.0000 0.0000  2 Hg 2.78-2.89
Hg: 0.1690 0.0000 0.6183  1 In 3.33, 2 Hg 3.48

=====

Entry 7:
VASP calculation (PBE) on MgReTe3 after structural relaxation.

Results
As for the symmetry: Pm-3m, No. 221. The raw formation energy is 0.58 eV per atom. The total energy comes out at -4.1094 eV/atom.

Lattice parameters (Å, degrees): 5.2956 5.2956 5.2956 90.00 90.00 90.00
Last column: nearest neighbours and their distance in Å.
Positions (direct):
Re: 0.0000 0.0000 0.0000  6 Te 2.65
Te: 0.5000 0.0000 0.0000  2 Re 2.65
Te: 0.0000 0.5000 0.0000  2 Re 2.65
Te: 0.0000 0.0000 0.5000  2 Re 2.65
Mg: 0.5000 0.5000 0.5000  12 Te 3.74

=====

Entry 8:
VASP calculation (PBE) on KMgTl2Cl5 after structural relaxation.

Results
As for the symmetry: Immm, No. 71. The raw formation energy is -1.49 eV per atom. The total energy comes out at -3.3396 eV/atom.

Lattice parameters (Å, degrees): 4.9039 7.3385 8.8369 114.53 106.11 90.00
Last column: nearest neighbours and their distance in Å.
Positions (direct):
Cl: 0.3823 0.1261 0.7646  1 Mg 2.54
K: 0.0000 0.5000 0.0000  10 Cl 3.58-3.67
Tl: 0.7936 0.7936 0.5872  7 Cl 3.16-3.33
Tl: 0.2064 0.2064 0.4128  7 Cl 3.16-3.33
Cl: 0.0000 0.0000 0.0000  2 Mg 2.45
Cl: 0.6177 0.8739 0.2354  1 Mg 2.54
Cl: 0.3823 0.6384 0.7646  1 Mg 2.54
Cl: 0.6177 0.3616 0.2354  1 Mg 2.54
Mg: 0.5000 0.0000 0.0000  6 Cl 2.45-2.54

=====

Entry 9:
VASP calculation (PBE) on Al2Fe2P after structural relaxation.

Results
As for the formation energy: -0.320 eV/atom. As for the symmetry: P4/mbm, No. 127. The total energy comes out at -6.2844 eV/atom.

Lattice parameters (Å, degrees): 5.6995 5.6995 3.8836 90.00 90.00 90.00
Last column: nearest neighbours and their distance in Å.
Positions (direct):
Fe: 0.3444 0.8444 0.0000  2 P 2.15
Al: 0.1599 0.6599 0.5000  6 Fe 2.45-2.65, 1 Al 2.58
P: 0.0000 0.0000 0.0000  4 Fe 2.15
Fe: 0.6556 0.1556 0.0000  2 P 2.15
Al: 0.6599 0.8401 0.5000  6 Fe 2.45-2.65, 1 Al 2.58
Fe: 0.1556 0.3444 0.0000  2 P 2.15
Al: 0.3401 0.1599 0.5000  6 Fe 2.45-2.65, 1 Al 2.58
P: 0.5000 0.5000 0.0000  4 Fe 2.15
Al: 0.8401 0.3401 0.5000  6 Fe 2.45-2.65, 1 Al 2.58
Fe: 0.8444 0.6556 0.0000  2 P 2.15

=====

Entry 10:
VASP calculation (PBE) on Te2H2Pd after structural relaxation.

Results
As for the symmetry: C2/m, No. 12. The total energy comes out at -3.7929 eV/atom.

Lattice parameters (Å, degrees): 4.0210 4.0186 8.8318 91.26 90.00 120.02
Last column: nearest neighbours and their distance in Å.
Positions (direct):
Pd: 0.0000 0.0000 0.0000  6 Te 2.70
Te: 0.3285 0.6571 0.8434  3 Pd 2.70
H: 0.0162 0.0324 0.5410  1 H 0.75
Te: 0.6715 0.3429 0.1566  3 Pd 2.70
H: 0.9838 0.9676 0.4590  1 H 0.75

=====

Entry 11:
VASP calculation (PBE) on Sm3Dy7Sc after structural relaxation.

Results
As for the formation energy: 0.158 eV/atom. As for the symmetry: C2/m, No. 12. The total energy comes out at -4.6333 eV/atom.

Lattice parameters (Å, degrees): 9.8033 9.8033 13.1137 100.75 100.75 138.60
Last column: nearest neighbours and their distance in Å.
Positions (direct):
Dy: 0.4988 0.4988 0.7502  2 Sc 3.27-3.29, 2 Sm 3.28-3.29
Dy: 0.4394 0.1205 0.5274  4 Dy 3.37-3.55, 1 Sc 3.40, 3 Sm 3.42-3.46
Dy: 0.5606 0.8795 0.4726  4 Dy 3.37-3.55, 1 Sc 3.40, 3 Sm 3.42-3.46
Sm: 0.4993 0.0003 0.7503  6 Dy 3.45-3.49, 2 Sm 3.47
Sc: 0.5000 0.5000 0.0000  10 Dy 3.27-3.64, 2 Sm 3.47
Dy: 0.9166 0.0869 0.2503  3 Dy 3.12-3.37, 2 Sm 3.48-3.49
Sm: 0.0000 0.0000 0.0000  10 Dy 3.29-3.63, 2 Sc 3.47
Dy: 0.4383 0.1195 0.0269  4 Dy 3.37-3.55, 1 Sc 3.40, 3 Sm 3.42-3.46
Dy: 0.0869 0.9166 0.2503  3 Dy 3.12-3.37, 2 Sm 3.48-3.49
Dy: 0.9131 0.0834 0.7497  3 Dy 3.12-3.37, 2 Sm 3.48-3.49
Dy: 0.0834 0.9131 0.7497  3 Dy 3.12-3.37, 2 Sm 3.48-3.49
Sm: 0.0003 0.4993 0.7503  6 Dy 3.45-3.49, 2 Sm 3.47
Dy: 0.5012 0.5012 0.2498  2 Sc 3.27-3.29, 2 Sm 3.28-3.29
Dy: 0.8805 0.5617 0.9731  4 Dy 3.37-3.55, 1 Sc 3.40, 3 Sm 3.42-3.46
Sm: 0.0000 0.0000 0.5000  10 Dy 3.28-3.63, 2 Sc 3.47
Dy: 0.1205 0.4394 0.5274  4 Dy 3.37-3.55, 1 Sc 3.40, 3 Sm 3.42-3.46
Sm: 0.9997 0.5007 0.2497  6 Dy 3.45-3.49, 2 Sm 3.47
Dy: 0.1195 0.4383 0.0269  4 Dy 3.37-3.55, 1 Sc 3.40, 3 Sm 3.42-3.46
Dy: 0.8795 0.5606 0.4726  4 Dy 3.37-3.55, 1 Sc 3.40, 3 Sm 3.42-3.46
Dy: 0.5617 0.8805 0.9731  4 Dy 3.37-3.55, 1 Sc 3.40, 3 Sm 3.42-3.46
Sc: 0.5000 0.5000 0.5000  10 Dy 3.29-3.63, 2 Sm 3.47
Sm: 0.5007 0.9997 0.2497  6 Dy 3.45-3.49, 2 Sm 3.47

=====

Entry 12:
VASP calculation (PBE) on KW2 after structural relaxation.

Results
As for the formation energy: 1.023 eV/atom. As for the symmetry: C2/m, No. 12. The total energy comes out at -7.9785 eV/atom.

Lattice parameters (Å, degrees): 2.6780 12.0780 9.3115 71.15 90.00 90.00
Last column: nearest neighbours and their distance in Å.
Positions (direct):
K: 0.5000 0.8519 0.7328  2 K 2.68
W: 0.5000 0.5467 0.3618  8 W 2.68-2.81
K: 0.0000 0.0370 0.9894  2 K 2.68
K: 0.5000 0.5370 0.9894  2 K 2.68
W: 0.5000 0.1479 0.5490  6 W 2.68-2.78
W: 0.0000 0.7410 0.1732  6 W 2.68-2.78
W: 0.5000 0.8422 0.3604  8 W 2.68-2.81
W: 0.5000 0.2410 0.1732  6 W 2.68-2.78
K: 0.0000 0.3519 0.7328  2 K 2.68
W: 0.0000 0.3422 0.3604  8 W 2.68-2.81
W: 0.0000 0.0467 0.3618  8 W 2.68-2.81
W: 0.0000 0.6479 0.5490  6 W 2.68-2.78

=====

Copy entry 1 word for word.
VASP calculation (PBE) on CeTcGe4 after structural relaxation.

Results
As for the formation energy: -0.225 eV/atom. As for the symmetry: P-1, No. 2. The total energy comes out at -6.0198 eV/atom.

Lattice parameters (Å, degrees): 6.2612 6.9584 6.4920 93.45 118.85 90.01
Last column: nearest neighbours and their distance in Å.
Positions (direct):
Tc: 0.5000 0.0000 0.5000  6 Ge 2.43-2.55
Ge: 0.4215 0.9065 0.1025  2 Ge 2.40-2.43, 1 Tc 2.43
Ge: 0.8656 0.8463 0.5020  2 Tc 2.52-2.55, 2 Ge 2.73-2.79
Ge: 0.5785 0.0935 0.8975  2 Ge 2.40-2.43, 1 Tc 2.43
Tc: 0.0000 0.5000 0.5000  6 Ge 2.43-2.55
Ce: 0.1017 0.2498 0.9996  6 Ge 3.01-3.25
Ge: 0.3637 0.6539 0.4985  2 Tc 2.52-2.55, 2 Ge 2.73-2.80
Ge: 0.3188 0.5934 0.8979  2 Ge 2.40-2.43, 1 Tc 2.43
Ge: 0.6812 0.4066 0.1021  2 Ge 2.40-2.43, 1 Tc 2.43
Ge: 0.6363 0.3461 0.5015  2 Tc 2.52-2.55, 2 Ge 2.73-2.80
Ge: 0.1344 0.1537 0.4980  2 Tc 2.52-2.55, 2 Ge 2.73-2.79
Ce: 0.8983 0.7502 0.0004  6 Ge 3.01-3.25